Entry 1:
# Mn2BeBr | Alexandria via LeMat-Bulk | PBE | optimized geometry
# Total magnetization, μB/atom: 1.81
# Crystal system: orthorhombic
# E above lowest polymorph, eV/f.u.: 1.560
data_Mn2BeBr
_chemical_formula_sum 'Mn4 Be2 Br2'
_cell_length_a 5.4340
_cell_length_b 7.3020
_cell_length_c 3.0433
_cell_angle_alpha 90.00
_cell_angle_beta 90.00
_cell_angle_gamma 90.00
_space_group_name_H-M_alt 'C m m m'
_space_group_IT_number 65
_space_group_name_Hall '-C 2 2'
loop_
_atom_site_label
_atom_site_type_symbol
_atom_site_fract_x
_atom_site_fract_y
_atom_site_fract_z
_atom_site_occupancy
Mn1 Mn 0.2500 0.2500 0.0000 1
Be1 Be 0.0000 0.0000 0.5000 1
Br1 Br 0.0000 0.5000 0.5000 1


Entry 2:
# MnBeBr2 | Alexandria via LeMat-Bulk | PBE | optimized geometry
# Total magnetization, μB/atom: 1.24
# Crystal system: trigonal
# E above lowest polymorph, eV/f.u.: 1.651
data_MnBeBr2
_chemical_formula_sum 'Mn3 Be3 Br6'
_cell_length_a 3.7466
_cell_length_b 3.7466
_cell_length_c 28.8400
_cell_angle_alpha 90.00
_cell_angle_beta 90.00
_cell_angle_gamma 120.00
_space_group_name_H-M_alt 'R -3 m'
_space_group_IT_number 166
_space_group_name_Hall '-R 3 2"'
loop_
_atom_site_label
_atom_site_type_symbol
_atom_site_fract_x
_atom_site_fract_y
_atom_site_fract_z
_atom_site_occupancy
Mn1 Mn 0.0000 0.0000 0.0000 1
Be1 Be 0.0000 0.0000 0.5000 1
Br1 Br 0.0000 0.0000 0.2787 1


Entry 3:
# MnBeBr2 | Alexandria via LeMat-Bulk | PBE | optimized geometry
# Total magnetization, μB/atom: 1.18
# Crystal system: trigonal
# E above lowest polymorph, eV/f.u.: 0.922
data_MnBeBr2
_chemical_formula_sum 'Mn3 Be3 Br6'
_cell_length_a 3.3618
_cell_length_b 3.3618
_cell_length_c 28.9401
_cell_angle_alpha 90.00
_cell_angle_beta 90.00
_cell_angle_gamma 120.00
_space_group_name_H-M_alt 'R -3 m'
_space_group_IT_number 166
_space_group_name_Hall '-R 3 2"'
loop_
_atom_site_label
_atom_site_type_symbol
_atom_site_fract_x
_atom_site_fract_y
_atom_site_fract_z
_atom_site_occupancy
Mn1 Mn 0.0000 0.0000 0.0000 1
Be1 Be 0.0000 0.0000 0.5000 1
Br1 Br 0.0000 0.0000 0.1184 1


Entry 4:
# MnBe3Br | Alexandria via LeMat-Bulk | PBE | optimized geometry
# Total magnetization, μB/atom: 0.00
# Crystal system: cubic
# E above lowest polymorph, eV/f.u.: 3.286
data_MnBe3Br
_chemical_formula_sum 'Mn1 Be3 Br1'
_cell_length_a 4.1942
_cell_length_b 4.1942
_cell_length_c 4.1942
_cell_angle_alpha 90.00
_cell_angle_beta 90.00
_cell_angle_gamma 90.00
_space_group_name_H-M_alt 'P m -3 m'
_space_group_IT_number 221
_space_group_name_Hall '-P 4 2 3'
loop_
_atom_site_label
_atom_site_type_symbol
_atom_site_fract_x
_atom_site_fract_y
_atom_site_fract_z
_atom_site_occupancy
Mn1 Mn 0.0000 0.0000 0.0000 1
Be1 Be 0.0000 0.5000 0.5000 1
Br1 Br 0.5000 0.5000 0.5000 1


Entry 5:
# Mn2BeBr | Alexandria via LeMat-Bulk | PBE | optimized geometry
# Total magnetization, μB/atom: 0.24
# Crystal system: cubic
# E above lowest polymorph, eV/f.u.: 2.435
data_Mn2BeBr
_chemical_formula_sum 'Mn8 Be4 Br4'
_cell_length_a 5.6803
_cell_length_b 5.6803
_cell_length_c 5.6803
_cell_angle_alpha 90.00
_cell_angle_beta 90.00
_cell_angle_gamma 90.00
_space_group_name_H-M_alt 'F m -3 m'
_space_group_IT_number 225
_space_group_name_Hall '-F 4 2 3'
loop_
_atom_site_label
_atom_site_type_symbol
_atom_site_fract_x
_atom_site_fract_y
_atom_site_fract_z
_atom_site_occupancy
Mn1 Mn 0.2500 0.2500 0.2500 1
Be1 Be 0.0000 0.0000 0.0000 1
Br1 Br 0.0000 0.0000 0.5000 1


Entry 6:
# Mn2BeBr | Alexandria via LeMat-Bulk | PBE | optimized geometry
# Total magnetization, μB/atom: 1.67
# Crystal system: trigonal
# E above lowest polymorph, eV/f.u.: 0.000
data_Mn2BeBr
_chemical_formula_sum 'Mn6 Be3 Br3'
_cell_length_a 3.4300
_cell_length_b 3.4300
_cell_length_c 18.5102
_cell_angle_alpha 90.00
_cell_angle_beta 90.00
_cell_angle_gamma 120.00
_space_group_name_H-M_alt 'R -3 m'
_space_group_IT_number 166
_space_group_name_Hall '-R 3 2"'
loop_
_atom_site_label
_atom_site_type_symbol
_atom_site_fract_x
_atom_site_fract_y
_atom_site_fract_z
_atom_site_occupancy
Mn1 Mn 0.0000 0.0000 0.2260 1
Be1 Be 0.0000 0.0000 0.5000 1
Br1 Br 0.0000 0.0000 0.0000 1


Entry 7:
# MnBeBr2 | Alexandria via LeMat-Bulk | PBE | optimized geometry
# Total magnetization, μB/atom: 1.13
# Crystal system: orthorhombic
# E above lowest polymorph, eV/f.u.: 0.545
data_MnBeBr2
_chemical_formula_sum 'Mn2 Be2 Br4'
_cell_length_a 3.3166
_cell_length_b 8.2208
_cell_length_c 9.0517
_cell_angle_alpha 90.00
_cell_angle_beta 90.00
_cell_angle_gamma 90.00
_space_group_name_H-M_alt 'I m m 2'
_space_group_IT_number 44
loop_
_space_group_symop_operation_xyz
'x,y,z'
'-x,-y,z'
'-x,y,z'
'x,-y,z'
'x+1/2,y+1/2,z+1/2'
'-x+1/2,-y+1/2,z+1/2'
'-x+1/2,y+1/2,z+1/2'
'x+1/2,-y+1/2,z+1/2'
loop_
_atom_site_label
_atom_site_type_symbol
_atom_site_fract_x
_atom_site_fract_y
_atom_site_fract_z
_atom_site_occupancy
Mn1 Mn 0.0000 0.0000 0.0000 1
Be1 Be 0.0000 0.5000 0.7132 1
Br1 Br 0.0000 0.0000 0.3711 1
Br2 Br 0.0000 0.5000 0.2865 1


Entry 8:
# MnBe3Br | Alexandria via LeMat-Bulk | PBE | optimized geometry
# Total magnetization, μB/atom: 0.63
# Crystal system: cubic
# E above lowest polymorph, eV/f.u.: 0.000
data_MnBe3Br
_chemical_formula_sum 'Mn1 Be3 Br1'
_cell_length_a 4.4186
_cell_length_b 4.4186
_cell_length_c 4.4186
_cell_angle_alpha 90.00
_cell_angle_beta 90.00
_cell_angle_gamma 90.00
_space_group_name_H-M_alt 'P m -3 m'
_space_group_IT_number 221
_space_group_name_Hall '-P 4 2 3'
loop_
_atom_site_label
_atom_site_type_symbol
_atom_site_fract_x
_atom_site_fract_y
_atom_site_fract_z
_atom_site_occupancy
Mn1 Mn 0.0000 0.0000 0.0000 1
Be1 Be 0.0000 0.0000 0.5000 1
Br1 Br 0.5000 0.5000 0.5000 1